Density functional theory data (PBE) for an optimized crystal structure of Co3Sn5Sb.

POSCAR file:
```
Co3Sn5Sb
1.0
7.034 -0.135 0.395
1.795 6.802 0.395
3.091 2.334 8.437
Co Sn Sb
6 10 2
direct
0.668 0.668 0.832
0.671 0.671 0.335
0.000 0.000 0.000
0.000 0.000 0.500
0.332 0.332 0.168
0.329 0.329 0.665
0.957 0.381 0.331
0.290 0.710 0.000
0.761 0.761 0.028
0.434 0.434 0.356
0.566 0.566 0.644
0.239 0.239 0.972
0.381 0.957 0.331
0.710 0.290 0.000
0.043 0.619 0.669
0.619 0.043 0.669
0.094 0.094 0.695
0.906 0.906 0.305
```

Calculated values
M_tot in μB/cell: 0.00
Crystal system: monoclinic


Density functional theory data (PBE) for an optimized crystal structure of Co5Sn2Sb2.

POSCAR file:
```
Co5Sn2Sb2
1.0
2.078 -3.599 0.000
2.078 3.599 0.000
0.000 0.000 9.904
Co Sn Sb
5 2 2
direct
0.000 0.000 0.129
0.000 0.000 0.626
0.000 0.000 0.871
0.000 0.000 0.374
0.667 0.333 0.000
0.333 0.667 0.000
0.333 0.667 0.500
0.667 0.333 0.260
0.667 0.333 0.740
```

Calculated values
M_tot in μB/cell: 4.15
Crystal system: hexagonal


Density functional theory data (PBE) for an optimized crystal structure of SrCo4Sb.

POSCAR file:
```
SrCo4Sb
1.0
0.000 3.640 3.640
3.640 0.000 3.640
3.640 3.640 0.000
Sr Co Sb
1 4 1
direct
0.000 0.000 0.000
0.873 0.376 0.376
0.376 0.376 0.873
0.376 0.873 0.376
0.376 0.376 0.376
0.750 0.750 0.750
```

Calculated values
M_tot in μB/cell: 6.96
Crystal system: cubic


Density functional theory data (PBE) for an optimized crystal structure of Sr3CoSb.

POSCAR file:
```
Sr3CoSb
1.0
5.507 0.000 0.000
0.000 5.507 0.000
0.000 0.000 5.507
Sb Co Sr
1 1 3
direct
0.500 0.500 0.500
0.000 0.000 0.000
0.000 0.500 0.000
0.000 0.000 0.500
0.500 0.000 0.000
```

Calculated values
Relative energy among the computed polymorphs in eV/f.u.: 0.00
M_tot in μB/cell: 0.00
Crystal system: cubic


Density functional theory data (PBE) for an optimized crystal structure of SrCo3Sb.

POSCAR file:
```
SrCo3Sb
1.0
4.757 0.000 0.000
0.000 4.757 0.000
0.000 0.000 4.757
Sb Co Sr
1 3 1
direct
0.500 0.500 0.500
0.000 0.500 0.000
0.000 0.000 0.500
0.500 0.000 0.000
0.000 0.000 0.000
```

Calculated values
Relative energy among the computed polymorphs in eV/f.u.: 6.71
M_tot in μB/cell: 3.55
Crystal system: cubic


Density functional theory data (PBE) for an optimized crystal structure of SrCo3Sb.

POSCAR file:
```
SrCo3Sb
1.0
-3.995 -2.639 0.359
0.940 -0.792 4.641
-2.492 3.932 1.175
Sb Co Sr
1 3 1
direct
0.000 0.000 0.000
0.000 0.500 0.000
0.000 0.000 0.500
0.500 0.000 0.000
0.500 0.500 0.500
```

Calculated values
Relative energy among the computed polymorphs in eV/f.u.: 0.00
M_tot in μB/cell: 3.98
Crystal system: cubic


Density functional theory data (PBE) for an optimized crystal structure of SrTaCo2Sb.

POSCAR file:
```
SrTaCo2Sb
1.0
4.426 0.000 0.000
0.000 5.647 0.000
0.000 0.000 4.426
Sb Co Sr Ta
1 2 1 1
direct
0.000 0.500 0.000
0.000 0.000 0.500
0.500 0.000 0.000
0.000 0.000 0.000
0.500 0.500 0.500
```

Calculated values
M_tot in μB/cell: 0.00
Crystal system: tetragonal


Density functional theory data (PBE) for an optimized crystal structure of Sr2TiCoSb.

POSCAR file:
```
Sr2TiCoSb
1.0
6.107 0.000 0.000
0.000 5.128 0.000
0.000 0.000 6.107
Sb Ti Co Sr
1 1 1 2
direct
0.000 0.500 0.000
0.000 0.000 0.000
0.500 0.500 0.500
0.000 0.000 0.500
0.500 0.000 0.000
```

Calculated values
M_tot in μB/cell: 4.36
Crystal system: tetragonal


| no. | E_form (uncorrected) (eV per atom) | raw total energy (Ry/atom) | volume (Å³/atom) |
| --- | --- | --- | --- |
| 1 | -0.059 | -0.3756 | 21.80 |
| 2 | -0.015 | -0.4239 | 16.46 |
| 3 | 0.230 | -0.4024 | 16.07 |
| 4 | -0.123 | -0.2483 | 33.41 |
| 5 | 1.929 | -0.2569 | 21.53 |
| 6 | 0.588 | -0.3554 | 22.13 |
| 7 | 2.190 | -0.3075 | 22.12 |
| 8 | 0.800 | -0.2718 | 38.26 |